No. 1
A plane-wave DFT calculation with PBE was carried out for ThBeAu after structural relaxation.

a b c (Å): 3.7438 4.3818 4.3818
angles (deg): 120.00 90.00 90.00
Fractional positions:
Au 0.1665 0.0000 0.0000
Be 0.1670 0.3333 0.6667
Th 0.6665 0.6667 0.3333

Total DFT energy (no corrections): -5.1780 eV/atom
E above lowest polymorph: 0.000 eV/atom
Formation energy from the elements: -0.370 eV per atom

=====

No. 2
A plane-wave DFT calculation with PBE was carried out for ThBeAu after structural relaxation.

a b c (Å): 3.9241 4.0266 8.1579
angles (deg): 75.71 90.00 90.00
Fractional positions:
Au 0.7500 0.3052 0.3896
Au 0.2500 0.6948 0.6104
Be 0.7500 0.4670 0.0660
Be 0.2500 0.5330 0.9340
Th 0.7500 0.1025 0.7950
Th 0.2500 0.8975 0.2050

Total DFT energy (no corrections): -5.1352 eV/atom
E above lowest polymorph: 0.043 eV/atom
Formation energy from the elements: -0.327 eV per atom

=====

No. 3
A plane-wave DFT calculation with PBE was carried out for ThBe4Au12 after structural relaxation.

a b c (Å): 7.3745 7.3745 7.3745
angles (deg): 109.47 109.47 109.47
Fractional positions:
Au 0.4962 0.8296 0.6666
Au 0.8296 0.3334 0.1629
Au 0.8296 0.6666 0.4962
Au 0.3334 0.5038 0.1704
Au 0.1704 0.3334 0.5038
Au 0.5038 0.1704 0.3334
Au 0.1629 0.8296 0.3334
Au 0.1704 0.6666 0.8371
Au 0.3334 0.1629 0.8296
Au 0.6666 0.4962 0.8296
Au 0.6666 0.8371 0.1704
Au 0.8371 0.1704 0.6666
Th 0.0000 0.0000 0.0000
Be 0.0000 0.0000 0.5000
Be 0.5000 0.0000 0.0000
Be 0.5000 0.5000 0.5000
Be 0.0000 0.5000 0.0000

Total DFT energy (no corrections): -3.7418 eV/atom
Formation energy from the elements: -0.115 eV per atom

=====

No. 4
A plane-wave DFT calculation with PBE was carried out for ThBe5Au7 after structural relaxation.

a b c (Å): 5.0477 6.8179 6.8179
angles (deg): 82.66 68.27 68.27
Fractional positions:
Au 0.2716 0.2284 0.2284
Au 0.9727 0.6849 0.3697
Au 0.9727 0.3697 0.6849
Au 0.5317 0.7706 0.1660
Au 0.6454 0.3546 0.3546
Au 0.3197 0.6803 0.6803
Au 0.5317 0.1660 0.7706
Be 0.4996 0.4988 0.9844
Be 0.0171 0.4988 0.9844
Be 0.7311 0.7689 0.7689
Be 0.0171 0.9844 0.4988
Be 0.4996 0.9844 0.4988
Th 0.9899 0.0101 0.0101

Total DFT energy (no corrections): -4.0145 eV/atom
Formation energy from the elements: -0.246 eV per atom

=====

No. 5
A plane-wave DFT calculation with PBE was carried out for Th2Be7Au12 after structural relaxation.

a b c (Å): 4.1634 9.8270 9.8270
angles (deg): 120.00 90.00 90.00
Fractional positions:
Be 0.7480 0.6083 0.8930
Be 0.2520 0.7153 0.6083
Be 0.2520 0.3917 0.1070
Be 0.5000 0.0000 0.0000
Be 0.2520 0.8930 0.2847
Be 0.7480 0.1070 0.7153
Be 0.7480 0.2847 0.3917
Au 0.2454 0.7424 0.8638
Au 0.2498 0.9210 0.5419
Au 0.2498 0.6208 0.0790
Au 0.7502 0.3792 0.9210
Au 0.7502 0.0790 0.4581
Au 0.2454 0.1214 0.2576
Au 0.7546 0.2576 0.1362
Au 0.7546 0.8638 0.1214
Au 0.7502 0.5419 0.6208
Au 0.7546 0.8786 0.7424
Au 0.2498 0.4581 0.3792
Au 0.2454 0.1362 0.8786
Th 0.7520 0.6667 0.3333
Th 0.2480 0.3333 0.6667

Total DFT energy (no corrections): -4.1094 eV/atom
Formation energy from the elements: -0.288 eV per atom

=====

No. 6
A plane-wave DFT calculation with PBE was carried out for ThBeAu3 after structural relaxation.

a b c (Å): 4.6346 4.6346 4.6346
angles (deg): 90.00 90.00 90.00
Fractional positions:
Be 0.0000 0.0000 0.0000
Th 0.5000 0.5000 0.5000
Au 0.5000 0.0000 0.0000
Au 0.0000 0.0000 0.5000
Au 0.0000 0.5000 0.0000

Total DFT energy (no corrections): -4.5642 eV/atom
Formation energy from the elements: -0.369 eV per atom

=====

- Look up the formation energy from the elements of the fifth one.
  -0.288 eV per atom